Density functional theory data (PBE) for a geometry-optimized TlRhBr structure.

Relative energy among the computed polymorphs   70 meV per atom
Calculated volume   68.53 Å³/f.u.
DOS(E_F)   3.76 states/eV/f.u.
M_tot   0.00 Bohr magnetons per cell
Calculated density   9.38 g cm⁻³
Crystal system   orthorhombic
Formation energy from raw total energies   0.246 eV per atom

abc: 6.232 6.230 3.458
angles: 73.92 73.86 32.22
Element x y z (fractional)
Rh1 0.320 0.320 0.680
Br1 0.976 0.976 0.024
Tl1 0.704 0.704 0.296

Density functional theory data (PBE) for a geometry-optimized Hf5SnC structure.

Calculated volume   140.02 Å³/f.u.
E_form   -215 meV/atom
DOS(E_F)   6.42 states/eV/f.u.
M_tot   0.00 Bohr magnetons per cell
Calculated density   12.13 g cm⁻³
Crystal system   monoclinic

abc: 5.893 5.893 9.779
angles: 72.03 72.03 62.11
Element x y z (fractional)
Hf1 0.818 0.431 0.454
Hf2 0.613 0.993 0.624
Hf3 0.033 0.967 0.750
Hf4 0.387 0.007 0.376
Hf5 0.182 0.569 0.546
Hf6 0.993 0.613 0.124
Hf7 0.967 0.033 0.250
Hf8 0.007 0.387 0.876
Sn1 0.527 0.473 0.750
C1 0.000 0.000 0.500
Sn2 0.473 0.527 0.250
Hf9 0.569 0.182 0.046
Hf10 0.431 0.818 0.954
C2 0.000 0.000 0.000

Density functional theory data (PBE) for a geometry-optimized Ca3Pm6Nd structure.

Calculated volume   367.62 Å³/f.u.
E_form   202 meV/atom
DOS(E_F)   14.10 states/eV/f.u.
M_tot   0.00 Bohr magnetons per cell
Calculated density   5.12 g cm⁻³
Crystal system   trigonal

abc: 6.688 6.688 9.491
angles: 90.00 90.00 120.00
Element x y z (fractional)
Pm1 0.598 0.598 0.820
Nd1 0.000 0.000 0.000
Ca1 0.667 0.333 0.500
Pm2 0.402 0.000 0.820
Ca2 0.000 0.000 0.500
Pm3 0.000 0.598 0.180
Pm4 0.598 0.000 0.180
Pm5 0.000 0.402 0.820
Pm6 0.402 0.402 0.180
Ca3 0.333 0.667 0.500

Density functional theory data (PBE) for a geometry-optimized BiPd2F structure.

Relative energy among the computed polymorphs   0 meV per atom
Calculated volume   67.95 Å³/f.u.
DOS(E_F)   2.32 states/eV/f.u.
M_tot   0.00 Bohr magnetons per cell
Calculated density   10.77 g cm⁻³
Crystal system   cubic
Formation energy from raw total energies   -0.523 eV per atom

abc: 4.580 4.580 4.580
angles: 60.00 60.00 60.00
Element x y z (fractional)
F1 0.000 0.000 0.000
Pd1 0.750 0.750 0.750
Pd2 0.250 0.250 0.250
Bi1 0.500 0.500 0.500

Density functional theory data (PBE) for a geometry-optimized ErTh3Te4 structure.

Calculated volume   246.15 Å³/f.u.
DOS(E_F)   6.50 states/eV/f.u.
M_tot   0.00 Bohr magnetons per cell
Calculated density   9.27 g cm⁻³
Crystal system   orthorhombic
Formation energy from raw total energies   -1.053 eV per atom

abc: 4.227 7.801 7.801
angles: 106.89 90.00 90.00
Element x y z (fractional)
Te1 0.500 0.756 0.244
Te2 0.500 0.244 0.756
Th1 0.000 0.000 0.500
Th2 0.500 0.500 0.500
Th3 0.000 0.500 0.000
Te3 0.000 0.761 0.761
Er1 0.500 0.000 0.000
Te4 0.000 0.239 0.239

Question: Among the records above, which one has the lowest calculated volume?
Answer: BiPd2F

Question: The highest DOS(E_F) belongs to which entry?
Answer: Ca3Pm6Nd

Question: What is the formula in the fifth record?
Answer: ErTh3Te4